The following is a PBEsol calculation of a geometry-optimized Na2ZnSi2O6 structure, from Alexandria.

abc: 11.3505 5.1582 11.3015
angles: 77.37 26.32 76.31
With the nearest neighbours (Å) after each atom.
Fractional coordinates of all 22 atoms:
Na (0.0604, 0.4396, 0.0949)  4 O 2.26-2.48
Na (0.1551, 0.8449, 0.1896)  4 O 2.26-2.48
Na (0.4396, 0.0604, 0.4051)  4 O 2.26-2.48
Na (0.8449, 0.1551, 0.8104)  4 O 2.26-2.48
Zn (0.0229, 0.0229, 0.9771)  4 O 1.94-1.96
Zn (0.2729, 0.2729, 0.2271)  4 O 1.94-1.96
Si (0.0003, 0.5941, 0.8338)  4 O 1.61-1.67
Si (0.4162, 0.6782, 0.2497)  4 O 1.61-1.67
Si (0.5941, 0.0003, 0.5718)  4 O 1.61-1.67
Si (0.6782, 0.4162, 0.6559)  4 O 1.61-1.67
O (0.0268, 0.2762, 0.8168)  1 Si 1.62
O (0.0840, 0.6769, 0.8815)  1 Si 1.61
O (0.1816, 0.7480, 0.5569)  2 Si 1.67
O (0.2762, 0.0268, 0.8802)  1 Si 1.62
O (0.3685, 0.8924, 0.1660)  1 Si 1.61
O (0.3698, 0.4332, 0.9738)  1 Si 1.62
O (0.4332, 0.3698, 0.2232)  1 Si 1.62
O (0.6769, 0.0840, 0.3576)  1 Si 1.61
O (0.6931, 0.7366, 0.0684)  2 Si 1.67
O (0.7366, 0.6931, 0.5020)  2 Si 1.67
O (0.7480, 0.1816, 0.5134)  2 Si 1.67
O (0.8924, 0.3685, 0.5731)  1 Si 1.61

Values from the calculation:
- E above lowest polymorph: 0 meV per atom
- Electronic total energy: -6.650 eV per atom
- Raw formation energy: -2343 meV/atom
- Fermi-level density of states: 0.000 states/eV/f.u.
- Theoretical density: 3.1 g cm⁻³
- Calculated volume: 285.05 Å³/cell